Record 1
TlHgIBr | PBE | relaxed

Cell and atoms, written as POSCAR:
```
TlHgIBr
1.0
0.0000 4.0283 4.0283
4.0283 0.0000 4.0283
4.0283 4.0283 0.0000
Tl Hg I Br
1 1 1 1
direct
0.0000 0.0000 0.0000 Tl
0.5000 0.5000 0.5000 Hg
0.7500 0.7500 0.7500 I
0.2500 0.2500 0.2500 Br
```

Values from the calculation:
Crystal system: cubic
Formation energy without anion corrections: -0.32 eV per atom
Space-group type: No. 216



Record 2
La8TlRu2 | PBE | relaxed

Cell and atoms, written as POSCAR:
```
La8TlRu2
1.0
4.4057 -7.1353 0.0000
4.4057 7.1353 0.0000
-1.3208 0.0000 5.5364
La Tl Ru
8 1 2
direct
0.0957 0.0957 0.7967 La
0.1670 0.4193 0.4488 La
0.2504 0.7496 0.0000 La
0.4193 0.1670 0.4488 La
0.5807 0.8330 0.5512 La
0.7496 0.2504 0.0000 La
0.8330 0.5807 0.5512 La
0.9043 0.9043 0.2033 La
0.5000 0.5000 0.0000 Tl
0.2124 0.7876 0.5000 Ru
0.7876 0.2124 0.5000 Ru
```

Values from the calculation:
Crystal system: monoclinic
Formation enthalpy at 0 K: -0.19 eV/atom
ΔE to the lowest computed polymorph: 0.012 eV/atom
Space-group type: No. 12



Record 3
Ba2PRu | PBE | relaxed

Cell and atoms, written as POSCAR:
```
Ba2PRu
1.0
3.6206 -3.6257 0.0000
3.6206 3.6257 0.0000
0.0000 0.0000 4.2850
Ba P Ru
2 1 1
direct
0.0000 0.5000 0.0000 Ba
0.5000 0.0000 0.0000 Ba
0.0000 0.0000 0.5000 P
0.5000 0.5000 0.5000 Ru
```

Values from the calculation:
Crystal system: orthorhombic
Formation enthalpy at 0 K: 0.18 eV/atom
Space-group type: No. 65



Record 4
Pm4SmSe4 | PBE | relaxed

Cell and atoms, written as POSCAR:
```
Pm4SmSe4
1.0
-4.6326 4.6326 2.9503
4.6326 -4.6326 2.9503
4.6326 4.6326 -2.9503
Pm Sm Se
4 1 4
direct
0.1024 0.2995 0.4019 Pm
0.2995 0.8976 0.1972 Pm
0.7005 0.1024 0.8028 Pm
0.8976 0.7005 0.5981 Pm
0.5000 0.5000 0.0000 Sm
0.1992 0.5975 0.7967 Se
0.4025 0.1992 0.6017 Se
0.5975 0.8008 0.3983 Se
0.8008 0.4025 0.2033 Se
```

Values from the calculation:
Crystal system: tetragonal
Formation energy without anion corrections: -1.59 eV per atom
Space-group type: No. 87